No. 1
TaRe2Br | PBE | relaxed

Computed properties:
**Energy relative to the lowest polymorph listed for this composition**: 452 meV/atom
**DOS(E_F)**: 6.1 states/eV/f.u.
**Formation energy from raw total energies**: 1.04 eV per atom
**Crystal system**: cubic

Unit cell a=6.4341 b=6.4341 c=6.4341 alpha=90.00 beta=90.00 gamma=90.00
Closest atoms and distances in Å follow each position.
Space group F-43m (No. 216)
Asymmetric unit:
Ta 0.0000 0.0000 0.0000  4 Re 2.79, 4 Br 2.79
Re 0.0000 0.0000 0.5000  4 Br 2.79, 4 Re 2.79
Re 0.2500 0.2500 0.2500  4 Re 2.79, 4 Ta 2.79
Br 0.2500 0.2500 0.7500  4 Ta 2.79, 4 Re 2.79

No. 2
TaReBr2 | PBE | relaxed

Computed properties:
**Energy relative to the lowest polymorph listed for this composition**: 266 meV/atom
**DOS(E_F)**: 3.0 states/eV/f.u.
**Formation energy from raw total energies**: 0.21 eV per atom
**Crystal system**: tetragonal

Unit cell a=3.1660 b=3.1660 c=9.0367 alpha=90.00 beta=90.00 gamma=90.00
Closest atoms and distances in Å follow each position.
Space group P4mm (No. 99)
Asymmetric unit:
Ta 0.0000 0.0000 0.0000  4 Re 2.70, 4 Br 2.99
Re 0.5000 0.5000 0.8327  4 Ta 2.70, 4 Br 2.94
Br 0.0000 0.0000 0.6224  4 Re 2.94, 4 Br 3.17
Br 0.5000 0.5000 0.2199  4 Ta 2.99, 4 Br 3.17

No. 3
TaReBr2 | PBE | relaxed

Computed properties:
**Energy relative to the lowest polymorph listed for this composition**: 1270 meV/atom
**DOS(E_F)**: 4.4 states/eV/f.u.
**Formation energy from raw total energies**: 1.21 eV per atom
**Crystal system**: cubic

Unit cell a=6.7601 b=6.7601 c=6.7601 alpha=90.00 beta=90.00 gamma=90.00
Closest atoms and distances in Å follow each position.
Space group F-43m (No. 216)
Asymmetric unit:
Ta 0.0000 0.0000 0.0000  4 Br 2.93, 4 Re 2.93
Re 0.2500 0.2500 0.7500  4 Ta 2.93, 4 Br 2.93
Br 0.0000 0.0000 0.5000  4 Re 2.93, 4 Br 2.93
Br 0.2500 0.2500 0.2500  4 Ta 2.93, 4 Br 2.93

No. 4
TaReBr2 | PBE | relaxed

Computed properties:
**Energy relative to the lowest polymorph listed for this composition**: 1178 meV/atom
**DOS(E_F)**: 3.8 states/eV/f.u.
**Formation energy from raw total energies**: 1.12 eV per atom
**Crystal system**: orthorhombic

Unit cell a=2.9515 b=5.6196 c=9.3227 alpha=90.00 beta=90.00 gamma=90.00
Closest atoms and distances in Å follow each position.
Space group Cmmm (No. 65)
Asymmetric unit:
Ta 0.0000 0.0000 0.0000  4 Br 2.71, 2 Ta 2.95
Re 0.0000 0.0000 0.5000  4 Br 2.81, 2 Re 2.95
Br 0.0000 0.5000 0.2434  2 Ta 2.71, 2 Re 2.81, 2 Br 2.95

No. 5
TaRe3Br | PBE | relaxed

Computed properties:
**Energy relative to the lowest polymorph listed for this composition**: 546 meV/atom
**DOS(E_F)**: 6.4 states/eV/f.u.
**Formation energy from raw total energies**: 2.67 eV per atom
**Crystal system**: cubic

Unit cell a=4.8800 b=4.8800 c=4.8800 alpha=90.00 beta=90.00 gamma=90.00
Closest atoms and distances in Å follow each position.
Space group Pm-3m (No. 221)
Asymmetric unit:
Ta 0.0000 0.0000 0.0000  6 Re 2.44
Re 0.0000 0.0000 0.5000  2 Ta 2.44
Br 0.5000 0.5000 0.5000  12 Re 3.45

No. 6
TaReBr2 | PBE | relaxed

Computed properties:
**Energy relative to the lowest polymorph listed for this composition**: 338 meV/atom
**DOS(E_F)**: 3.0 states/eV/f.u.
**Formation energy from raw total energies**: 0.28 eV per atom
**Crystal system**: monoclinic

Unit cell a=4.5774 b=3.1796 c=7.2997 alpha=90.00 beta=106.15 gamma=90.00
Closest atoms and distances in Å follow each position.
Space group Pm (No. 6)
Asymmetric unit:
Ta 0.0000 0.0000 0.0000  2 Re 2.57, 3 Br 2.58-2.74
Re 0.5774 0.5000 0.0360  3 Br 2.53-2.70, 2 Ta 2.57
Br 0.1453 0.5000 0.7320  1 Re 2.53, 2 Ta 2.74
Br 0.4520 0.0000 0.3042  1 Ta 2.58, 2 Re 2.70